! TbTh2S3 PBE relaxed; values from VASP
&SYSTEM
  ibrav = 0, nat = 6, ntyp = 3
/
ATOMIC_SPECIES
Tb 158.93 Tb.upf
Th 232.04 Th.upf
S 32.06 S.upf
CELL_PARAMETERS angstrom
-2.0060 2.0060 8.4961
2.0060 -2.0060 8.4961
2.0060 2.0060 -8.4961
ATOMIC_POSITIONS angstrom
Tb 0.0000 0.0000 0.0000
Th 0.0000 0.0000 5.6382
Th 0.0000 0.0000 11.3540
S 0.0000 0.0000 2.7634
S 0.0000 0.0000 8.4961
S 0.0000 0.0000 14.2288
! Calculated total energy in eV per atom: -7.20
! E_form (uncorrected) in kJ per mole of atoms: -182.2